AcCd4Pd PBE optimized geometry; relative energy among the computed polymorphs = 0 meV per atom; N(E_F) = 0.5867 states/eV per atom; total magnetization = 0.000 μB per formula unit; final energy = -30.40 eV/cell
1.0
4.472 0.000 0.000
0.000 7.577 0.000
0.000 0.000 8.734
Ac Cd Pd
2 8 2
Direct
0.000 0.601 0.750
0.000 0.399 0.250
0.000 0.000 0.500
0.000 0.000 0.000
0.500 0.955 0.750
0.500 0.045 0.250
0.500 0.700 0.052
0.500 0.300 0.948
0.500 0.700 0.448
0.500 0.300 0.552
0.000 0.214 0.750
0.000 0.786 0.250



VReHIr2 PBE optimized geometry; N(E_F) = 0.7002 states/eV per atom; total magnetization = 0.000 μB per formula unit; final energy = -43.51 eV/cell
1.0
3.860 0.000 0.000
0.000 3.860 0.000
0.000 0.000 3.974
Re Ir H V
1 2 1 1
Direct
0.500 0.500 0.500
0.000 0.500 0.000
0.500 0.000 0.000
0.000 0.000 0.000
0.000 0.000 0.500



Tb2Pm4Nd2Er PBE optimized geometry; N(E_F) = 1.2784 states/eV per atom; total magnetization = 0.000 μB per formula unit; final energy = -42.29 eV/cell
1.0
3.657 0.000 0.000
-1.829 9.449 -0.540
0.000 -3.691 8.984
Tb Pm Nd Er
2 4 2 1
Direct
0.852 0.705 0.334
0.148 0.295 0.666
0.814 0.629 0.667
0.186 0.371 0.333
0.518 0.037 0.333
0.482 0.963 0.667
0.335 0.669 0.002
0.665 0.331 0.998
0.000 0.000 0.000



LaPuAlIn PBE optimized geometry; N(E_F) = 2.3277 states/eV per atom; total magnetization = 5.777 μB per formula unit; final energy = -26.54 eV/cell
1.0
-4.798 1.528 1.878
-4.495 -1.754 -2.366
-3.154 -3.548 2.519
La In Al Pu
1 1 1 1
Direct
0.500 0.500 0.500
0.250 0.250 0.250
0.750 0.750 0.750
0.000 0.000 0.000